Zn4Cu | GGA-PBEsol | relaxed

Unit cell a=2.5969 b=2.5969 c=12.1197 alpha=90.00 beta=90.00 gamma=120.00
With the nearest neighbours (Å) after each atom.
Positions (direct):
Cu 0.0000 0.0000 0.0000  6 Zn 2.59, 6 Cu 2.60
Zn 0.6667 0.3333 0.8261  3 Cu 2.59, 7 Zn 2.60-2.75
Zn 0.3333 0.6667 0.1739  3 Cu 2.59, 7 Zn 2.60-2.75
Zn 0.6667 0.3333 0.5991  10 Zn 2.60-2.83
Zn 0.3333 0.6667 0.4009  10 Zn 2.60-2.83

The energy above the most stable polymorph in this dataset is 8.6 kJ per mole of atoms. As for the energy: -10.360 eV per cell. The value obtained for the density of states at the Fermi level is 1.4 states/eV per cell. Its space-group type is No. 164. The calculation puts the formation energy at 0.06 eV per atom.

Zn2Cu | GGA-PBEsol | relaxed

Unit cell a=2.8762 b=2.8762 c=5.0632 alpha=106.50 beta=106.50 gamma=90.00
With the nearest neighbours (Å) after each atom.
Positions (direct):
Zn 0.8398 0.8398 0.6796  4 Cu 2.52, 4 Zn 2.63
Zn 0.1602 0.1602 0.3204  4 Cu 2.52, 4 Zn 2.63
Cu 0.5000 0.5000 0.0000  8 Zn 2.52

As for the energy: -7.694 eV per cell. The value obtained for the density of states at the Fermi level is 0.6 states/eV per cell. Its space-group type is No. 139. The calculation puts the formation energy at -0.07 eV per atom.

ZnCu5 | GGA-PBEsol | relaxed

Unit cell a=3.5586 b=3.6031 c=5.7129 alpha=71.62 beta=90.00 gamma=90.00
With the nearest neighbours (Å) after each atom.
Positions (direct):
Cu 0.5000 0.8316 0.3368  10 Cu 2.51-2.56, 2 Zn 2.55
Cu 0.0000 0.3323 0.3355  10 Cu 2.51-2.54, 2 Zn 2.56
Cu 0.5000 0.1684 0.6632  10 Cu 2.51-2.56, 2 Zn 2.55
Cu 0.5000 0.5000 0.0000  4 Zn 2.53, 8 Cu 2.54-2.56
Cu 0.0000 0.6677 0.6645  10 Cu 2.51-2.54, 2 Zn 2.56
Zn 0.0000 0.0000 0.0000  12 Cu 2.53-2.56

As for the energy: -23.542 eV per cell. The value obtained for the density of states at the Fermi level is 1.5 states/eV per cell. Its space-group type is No. 65. The calculation puts the formation energy at -0.05 eV per atom.

Zn7Cu | GGA-PBEsol | relaxed

Unit cell a=5.3528 b=5.3528 c=5.3528 alpha=60.00 beta=60.00 gamma=60.00
With the nearest neighbours (Å) after each atom.
Positions (direct):
Zn 0.0000 0.5000 0.0000  10 Zn 2.68, 2 Cu 2.68
Zn 0.5000 0.0000 0.5000  10 Zn 2.68, 2 Cu 2.68
Zn 0.5000 0.5000 0.5000  12 Zn 2.68
Zn 0.0000 0.5000 0.5000  10 Zn 2.68, 2 Cu 2.68
Zn 0.5000 0.0000 0.0000  2 Cu 2.68, 10 Zn 2.68
Zn 0.5000 0.5000 0.0000  10 Zn 2.68, 2 Cu 2.68
Zn 0.0000 0.0000 0.5000  10 Zn 2.68, 2 Cu 2.68
Cu 0.0000 0.0000 0.0000  12 Zn 2.68

As for the energy: -15.430 eV per cell. The value obtained for the density of states at the Fermi level is 2.2 states/eV per cell. Its space-group type is No. 225. The calculation puts the formation energy at 0.00 eV per atom.

What is the formula in the fourth record?
Zn7Cu

Which value of energy does entry 4 give?
-15.430 eV per cell

Which value of energy does entry 3 give?
-23.542 eV per cell

Repeat the third record exactly.
ZnCu5 | GGA-PBEsol | relaxed

Unit cell a=3.5586 b=3.6031 c=5.7129 alpha=71.62 beta=90.00 gamma=90.00
With the nearest neighbours (Å) after each atom.
Positions (direct):
Cu 0.5000 0.8316 0.3368  10 Cu 2.51-2.56, 2 Zn 2.55
Cu 0.0000 0.3323 0.3355  10 Cu 2.51-2.54, 2 Zn 2.56
Cu 0.5000 0.1684 0.6632  10 Cu 2.51-2.56, 2 Zn 2.55
Cu 0.5000 0.5000 0.0000  4 Zn 2.53, 8 Cu 2.54-2.56
Cu 0.0000 0.6677 0.6645  10 Cu 2.51-2.54, 2 Zn 2.56
Zn 0.0000 0.0000 0.0000  12 Cu 2.53-2.56

As for the energy: -23.542 eV per cell. The value obtained for the density of states at the Fermi level is 1.5 states/eV per cell. Its space-group type is No. 65. The calculation puts the formation energy at -0.05 eV per atom.